# 1
A geometry-optimized KSr2Ag structure. Source: Alexandria via LeMat-Bulk, functional PBE.

Lattice parameters (Å, degrees): 4.0820 5.8619 15.0634 90.00 90.00 90.00
Space group Imm2 (No. 44)
Asymmetric unit:
1 K 0.0000 0.0000 0.0000
2 Sr 0.0000 0.0000 0.6402
3 Sr 0.0000 0.5000 0.8214
4 Ag 0.0000 0.5000 0.3070

Properties
excess energy over the best structure of this formula in the dataset = 9.9 kJ/mol of atoms
DFT total energy = -0.134 Ry per atom

# 2
A geometry-optimized Sm2ScBiO6 structure. Source: Alexandria via LeMat-Bulk, functional PBE.

Lattice parameters (Å, degrees): 5.4527 5.4527 5.5411 90.00 90.00 90.00
Space group P4mm (No. 99)
Asymmetric unit:
1 Sm 0.0000 0.5000 0.0000
2 Sc 0.0000 0.0000 0.6046
3 Bi 0.5000 0.5000 0.5720
4 O 0.0000 0.0000 0.2462
5 O 0.2411 0.2411 0.7673
6 O 0.5000 0.5000 0.1598

Properties
E_form (uncorrected) = -2.661 eV/atom
DFT total energy = -0.559 Ry per atom